Record 1
Computed, not measured: K2ReAu after structural relaxation at the PBE level of DFT.

Unit cell a=6.3063 b=6.3063 c=2.7623 alpha=90.16 beta=90.16 gamma=122.33
Positions (direct):
K  0.0000  0.5000  0.0000
K  0.5000  0.0000  0.0000
Re  0.0000  0.0000  0.5000
Au  0.5000  0.5000  0.5000

## Properties
* magnetization: 1.067 μB per formula unit

=====

Record 2
Computed, not measured: K2ReAu after structural relaxation at the PBE level of DFT.

Unit cell a=6.6691 b=6.6691 c=6.6691 alpha=155.42 beta=134.01 gamma=52.83
Positions (direct):
K  0.2278  0.2278  0.0000
K  0.7722  0.7722  0.0000
Re  0.5000  0.0000  0.5000
Au  0.0000  0.5000  0.5000

## Properties
* magnetization: 0.825 μB per formula unit

=====

Record 3
Computed, not measured: KRe2Au after structural relaxation at the PBE level of DFT.

Unit cell a=5.5349 b=5.6179 c=7.2252 alpha=107.07 beta=94.50 gamma=118.74
Positions (direct):
K  0.0000  0.0000  0.0000
K  0.3690  0.7387  0.1803
Re  0.0175  0.9440  0.4664
Re  0.4241  0.3417  0.7295
Re  0.6963  0.4537  0.4894
Re  0.8358  0.2108  0.6572
Au  0.3286  0.7605  0.6790
Au  0.6905  0.3960  0.0882

## Properties
* magnetization: 0.000 μB per formula unit

=====

Record 4
Computed, not measured: KRe2Au after structural relaxation at the PBE level of DFT.

Unit cell a=4.0517 b=4.8822 c=12.1438 alpha=93.00 beta=98.41 gamma=113.77
Positions (direct):
K  0.0000  0.0000  0.0000
K  0.4832  0.3699  0.6949
Re  0.0807  0.8767  0.3010
Re  0.3741  0.4516  0.3731
Re  0.4424  0.6671  0.1945
Re  0.7251  0.2533  0.2515
Au  0.0806  0.7135  0.5316
Au  0.7450  0.0919  0.4746

## Properties
* magnetization: 0.000 μB per formula unit

=====

Record 5
Computed, not measured: KRe2Au after structural relaxation at the PBE level of DFT.

Unit cell a=2.7835 b=2.7835 c=10.5351 alpha=90.00 beta=90.00 gamma=114.81
Positions (direct):
K  0.0000  0.0000  0.0000
Re  0.0000  0.0000  0.4841
Re  0.5000  0.5000  0.2838
Au  0.5000  0.5000  0.7250

## Properties
* magnetization: 0.000 μB per formula unit

=====

Record 6
Computed, not measured: KRe2Au after structural relaxation at the PBE level of DFT.

Unit cell a=3.8325 b=3.8325 c=5.1309 alpha=90.00 beta=90.00 gamma=90.00
Positions (direct):
K  0.0000  0.0000  0.0000
Re  0.0000  0.5000  0.5000
Re  0.5000  0.0000  0.5000
Au  0.5000  0.5000  0.0000

## Properties
* magnetization: 0.000 μB per formula unit

=====

Record 7
Computed, not measured: KRe2Au after structural relaxation at the PBE level of DFT.

Unit cell a=2.6916 b=4.9856 c=5.5859 alpha=90.00 beta=90.00 gamma=90.00
Positions (direct):
K  0.0000  0.0000  0.0000
Re  0.0000  0.5000  0.5000
Re  0.5000  0.0000  0.5000
Au  0.5000  0.5000  0.0000

## Properties
* magnetization: 0.001 μB per formula unit

=====

Record 8
Computed, not measured: KRe2Au after structural relaxation at the PBE level of DFT.

Unit cell a=4.5884 b=5.6197 c=7.8975 alpha=86.08 beta=79.97 gamma=74.50
Positions (direct):
K  0.1764  0.1564  0.3674
K  0.8236  0.8436  0.6326
Re  0.0702  0.7343  0.0462
Re  0.3942  0.4443  0.8456
Re  0.6058  0.5557  0.1544
Re  0.9298  0.2657  0.9538
Au  0.5000  0.0000  0.0000
Au  0.5000  0.5000  0.5000

## Properties
* magnetization: 0.000 μB per formula unit

=====

Record 9
Computed, not measured: K2ReAu after structural relaxation at the PBE level of DFT.

Unit cell a=2.7639 b=5.7550 c=5.5450 alpha=90.00 beta=93.99 gamma=90.00
Positions (direct):
K  0.2053  0.0000  0.2524
K  0.7947  0.0000  0.7476
Re  0.5000  0.5000  0.0000
Au  0.0000  0.5000  0.5000

## Properties
* magnetization: 0.817 μB per formula unit

=====

Record 10
Computed, not measured: KRe2Au after structural relaxation at the PBE level of DFT.

Unit cell a=6.4159 b=6.4159 c=6.4159 alpha=155.95 beta=134.85 gamma=51.80
Positions (direct):
K  0.0000  0.0000  0.0000
Re  0.2814  0.7814  0.5000
Re  0.7186  0.2186  0.5000
Au  0.5000  0.5000  0.0000

## Properties
* magnetization: 0.000 μB per formula unit

=====

Record 11
Computed, not measured: KRe2Au after structural relaxation at the PBE level of DFT.

Unit cell a=2.8738 b=4.3579 c=14.9807 alpha=90.00 beta=94.27 gamma=90.00
Positions (direct):
K  0.0000  0.0000  0.0000
K  0.1393  0.5000  0.2738
Re  0.2704  0.0000  0.6169
Re  0.3543  0.5000  0.8196
Re  0.7914  0.5000  0.6672
Re  0.8260  0.0000  0.7706
Au  0.2265  0.5000  0.4973
Au  0.6976  0.0000  0.4216

## Properties
* magnetization: 0.000 μB per formula unit

=====

Record 12
Computed, not measured: K2ReAu after structural relaxation at the PBE level of DFT.

Unit cell a=5.6416 b=5.6416 c=5.6416 alpha=60.00 beta=60.00 gamma=60.00
Positions (direct):
K  0.2500  0.2500  0.2500
K  0.7500  0.7500  0.7500
Re  0.0000  0.0000  0.0000
Au  0.5000  0.5000  0.5000

## Properties
* magnetization: 4.089 μB per formula unit

=====

no.,calculated formation energy (eV/f.u.),ρ (Mg/m³)
1,4.2,8.3
2,4.3,8.7
3,2.9,11.1
4,1.9,9.4
5,2.7,13.6
6,5.9,13.4
7,4.7,13.5
8,2.4,10.5
9,4.2,8.7
10,3.5,13.3
11,1.4,10.8
12,5.6,6.0